Record 1
A relaxed PuPa2Ru crystal, computed with PBE.

Its energy of formation is -0.123 eV per atom.

Unit cell a=4.1070 b=4.0595 c=10.5940 alpha=90.00 beta=90.00 gamma=90.00
Closest atoms and distances in Å follow each position.
Space group Amm2 (No. 38)
Symmetry-distinct sites (fractional):
1 Pu 0.0000 0.0000 0.0000 (multiplicity 2)  5 Pa 2.68-2.99, 2 Ru 2.85
2 Pa 0.0000 0.0000 0.2532 (multiplicity 2)  1 Pu 2.68, 4 Ru 2.96
3 Pa 0.5000 0.0000 0.5730 (multiplicity 2)  1 Ru 2.55
4 Ru 0.5000 0.0000 0.8137 (multiplicity 2)  1 Pa 2.55, 2 Pu 2.85


Record 2
A relaxed TiB4Mo crystal, computed with PBE.

Its energy of formation is -0.684 eV per atom.

Unit cell a=3.0538 b=3.0538 c=6.4545 alpha=90.00 beta=90.00 gamma=120.00
Closest atoms and distances in Å follow each position.
Space group P6/mmm (No. 191)
Symmetry-distinct sites (fractional):
1 Ti 0.0000 0.0000 0.0000 (multiplicity 1)  12 B 2.36
2 B 0.3333 0.6667 0.2441 (multiplicity 4)  3 B 1.76
3 Mo 0.0000 0.0000 0.5000 (multiplicity 1)  12 B 2.42


Record 3
A relaxed La2AlZn3Ni12 crystal, computed with PBE.

Its energy of formation is 0.030 eV per atom.

Unit cell a=6.0925 b=6.0925 c=25.6864 alpha=90.00 beta=90.00 gamma=120.00
Closest atoms and distances in Å follow each position.
Space group R-3m (No. 166, hexagonal axes)
Symmetry-distinct sites (fractional):
1 La 0.0000 0.0000 0.1577 (multiplicity 6)  6 Ni 2.92-3.04
2 Al 0.0000 0.0000 0.5000 (multiplicity 3)  6 Ni 2.34
3 Zn 0.0000 0.5000 0.0000 (multiplicity 9)  6 Ni 2.39-2.46
4 Ni 0.0582 0.5291 0.0950 (multiplicity 18)  1 Al 2.34, 4 Ni 2.38-2.51, 1 Zn 2.46
5 Ni 0.0746 0.5373 0.6148 (multiplicity 18)  4 Ni 2.36-2.38, 2 Zn 2.39


Record 4
A relaxed GdLuC2 crystal, computed with PBE.

Its energy of formation is 0.029 eV per atom.

Unit cell a=3.5658 b=3.5658 c=17.4011 alpha=90.00 beta=90.00 gamma=120.00
Closest atoms and distances in Å follow each position.
Space group R-3m (No. 166, hexagonal axes)
Symmetry-distinct sites (fractional):
1 Gd 0.0000 0.0000 0.0000 (multiplicity 3)  6 C 2.54
2 Lu 0.0000 0.0000 0.5000 (multiplicity 3)  6 C 2.49
3 C 0.0000 0.0000 0.2476 (multiplicity 6)  3 Lu 2.49, 3 Gd 2.54


Question: Which value of energy of formation does entry 3 give?
Answer: 0.030 eV per atom